Entry 1:
Here is a relaxed structure of LiMg5Cd4 from Alexandria. Energies are from PBE.

- calculated density (g/cm³) = 4.52
- formation enthalpy at 0 K (eV per formula unit) = -0.95
- relative energy among the computed polymorphs (eV per atom) = 0.019
- space-group type = P4/mmm, No. 123

POSCAR file:
```
LiMg5Cd4
1.0
3.576 0.000 0.000
0.000 3.576 0.000
0.000 0.000 16.624
Li Mg Cd
1 5 4
direct
0.000 0.000 0.000 Li
0.500 0.500 0.096 Mg
0.500 0.500 0.298 Mg
0.500 0.500 0.500 Mg
0.500 0.500 0.702 Mg
0.500 0.500 0.904 Mg
0.000 0.000 0.196 Cd
0.000 0.000 0.398 Cd
0.000 0.000 0.602 Cd
0.000 0.000 0.804 Cd
```


Entry 2:
Here is a relaxed structure of Li7Mg3Cd from Alexandria. Energies are from PBE.

- calculated density (g/cm³) = 1.72
- formation enthalpy at 0 K (eV per formula unit) = -0.17
- relative energy among the computed polymorphs (eV per atom) = 0.011
- space-group type = Cmcm, No. 63

POSCAR file:
```
Li7Mg3Cd
1.0
1.518 -10.245 0.000
1.518 10.245 0.000
0.000 0.000 14.506
Li Mg Cd
14 6 2
direct
0.000 0.000 0.089 Li
0.000 0.000 0.411 Li
0.000 0.000 0.589 Li
0.000 0.000 0.911 Li
0.108 0.892 0.750 Li
0.125 0.875 0.154 Li
0.125 0.875 0.346 Li
0.242 0.758 0.078 Li
0.242 0.758 0.422 Li
0.758 0.242 0.578 Li
0.758 0.242 0.922 Li
0.875 0.125 0.654 Li
0.875 0.125 0.846 Li
0.892 0.108 0.250 Li
0.257 0.743 0.750 Mg
0.378 0.622 0.035 Mg
0.378 0.622 0.465 Mg
0.622 0.378 0.535 Mg
0.622 0.378 0.965 Mg
0.743 0.257 0.250 Mg
0.480 0.520 0.750 Cd
0.520 0.480 0.250 Cd
```